# 1
The following is a PBE calculation of OsI2N after structural relaxation, from the Alexandria database.

Unit cell a=4.707 b=4.707 c=4.707 alpha=60.00 beta=60.00 gamma=60.00
Each line ends with the local moment (μB).
Fractional positions:
I (0.250, 0.250, 0.250)  0.01
I (0.750, 0.750, 0.750)  0.01
Os (0.500, 0.500, 0.500)  0.03
N (0.000, 0.000, 0.000)  1.11

Computed properties:
The calculation puts the energy above the most stable polymorph in this dataset at 256 meV/atom. The value obtained for the calculated total energy is -14.72 eV/cell. For the density, the calculation gives 10.31 Mg/m³. Its space group is No. 225.



# 2
The following is a PBE calculation of OsI3N after structural relaxation, from the Alexandria database.

Unit cell a=4.827 b=4.827 c=4.827 alpha=90.00 beta=90.00 gamma=90.00
Fractional positions:
Os (0.500, 0.500, 0.500)
I (0.000, 0.000, 0.500)
I (0.500, 0.000, 0.000)
I (0.000, 0.500, 0.000)
N (0.000, 0.000, 0.000)

Computed properties:
The calculation puts the energy above the most stable polymorph in this dataset at 158 meV/atom. The value obtained for the calculated total energy is -13.75 eV/cell. For the density, the calculation gives 8.64 Mg/m³. Its space group is No. 221.



# 3
The following is a PBE calculation of OsI2N after structural relaxation, from the Alexandria database.

Unit cell a=5.683 b=5.683 c=7.172 alpha=66.66 beta=66.66 gamma=90.00
Fractional positions:
N (0.250, 0.750, 0.500)
N (0.500, 0.500, 0.000)
Os (0.000, 0.000, 0.000)
Os (0.750, 0.250, 0.500)
I (0.140, 0.625, 0.250)
I (0.875, 0.860, 0.750)
I (0.375, 0.390, 0.750)
I (0.610, 0.125, 0.250)

Computed properties:
The calculation puts the energy above the most stable polymorph in this dataset at 0 meV/atom. The value obtained for the calculated total energy is -31.49 eV/cell. For the density, the calculation gives 7.93 Mg/m³. Its space group is No. 122.



For the records above, the corresponding energy relative to the elements, uncorrected values read 1.984, 2.092, 1.728 eV per atom.